Here is a relaxed structure of AcMgSn2 from the Alexandria database. Energies are from PBE.

Unit cell a=3.9199 b=3.9199 c=7.4614 alpha=90.00 beta=90.00 gamma=90.00
Last column: nearest neighbours and their distance in Å.
Sites, in units of the cell vectors:
Ac: 0.0000 0.0000 0.0000  8 Sn 3.55, 2 Mg 3.73, 4 Ac 3.92
Mg: 0.0000 0.0000 0.5000  8 Sn 3.16
Sn: 0.5000 0.5000 0.2970  1 Sn 3.03, 4 Mg 3.16
Sn: 0.5000 0.5000 0.7030  1 Sn 3.03, 4 Mg 3.16

Here is a relaxed structure of Ac3MgSn3 from the Alexandria database. Energies are from PBE.

Computed properties:
Relative energy among the computed polymorphs = 0 meV per atom

Unit cell a=6.7386 b=6.7386 c=15.9205 alpha=107.51 beta=107.51 gamma=43.04
Last column: nearest neighbours and their distance in Å.
Sites, in units of the cell vectors:
Ac: 0.0228 0.0228 0.3802  6 Sn 3.44-3.61, 4 Mg 3.56-3.82
Ac: 0.0990 0.0990 0.9194  7 Sn 3.45-3.73
Ac: 0.2435 0.2435 0.2254  6 Sn 3.40-3.66, 2 Mg 3.76
Ac: 0.7565 0.7565 0.7746  6 Sn 3.40-3.66, 2 Mg 3.76
Ac: 0.9010 0.9010 0.0806  7 Sn 3.45-3.73
Ac: 0.9772 0.9772 0.6198  6 Sn 3.44-3.61, 4 Mg 3.56-3.82
Mg: 0.2660 0.2660 0.5996  4 Sn 2.91-3.04
Mg: 0.7340 0.7340 0.4004  4 Sn 2.91-3.04
Sn: 0.3606 0.3606 0.4499  3 Mg 2.91-2.98
Sn: 0.3787 0.3787 0.9243  2 Sn 3.05-3.21
Sn: 0.4690 0.4690 0.7682  1 Mg 3.04, 1 Sn 3.05
Sn: 0.5310 0.5310 0.2318  1 Mg 3.04, 1 Sn 3.05
Sn: 0.6213 0.6213 0.0757  2 Sn 3.05-3.21
Sn: 0.6394 0.6394 0.5501  3 Mg 2.91-2.98

Here is a relaxed structure of AcMg6Sn6 from the Alexandria database. Energies are from PBE.

Computed properties:
Relative energy among the computed polymorphs = 4 meV per atom

Unit cell a=6.3289 b=6.3289 c=9.5465 alpha=90.00 beta=90.00 gamma=120.00
Last column: nearest neighbours and their distance in Å.
Sites, in units of the cell vectors:
Ac: 0.0000 0.0000 0.0000  8 Sn 3.31-3.65
Mg: 0.0000 0.5000 0.2473  6 Sn 2.99-3.30, 4 Mg 3.16
Mg: 0.0000 0.5000 0.7527  6 Sn 2.99-3.30, 4 Mg 3.16
Mg: 0.5000 0.0000 0.2473  6 Sn 2.99-3.30, 4 Mg 3.16
Mg: 0.5000 0.0000 0.7527  6 Sn 2.99-3.30, 4 Mg 3.16
Mg: 0.5000 0.5000 0.2473  6 Sn 2.99-3.30, 4 Mg 3.16
Mg: 0.5000 0.5000 0.7527  6 Sn 2.99-3.30, 4 Mg 3.16
Sn: 0.0000 0.0000 0.3467  1 Sn 2.93
Sn: 0.0000 0.0000 0.6533  1 Sn 2.93
Sn: 0.3333 0.6667 0.0000  6 Mg 2.99
Sn: 0.3333 0.6667 0.5000  6 Mg 3.03
Sn: 0.6667 0.3333 0.0000  6 Mg 2.99
Sn: 0.6667 0.3333 0.5000  6 Mg 3.03

Here is a relaxed structure of Ac2MgSn9 from the Alexandria database. Energies are from PBE.

Unit cell a=4.9840 b=4.9840 c=13.7404 alpha=90.00 beta=90.00 gamma=90.00
Last column: nearest neighbours and their distance in Å.
Sites, in units of the cell vectors:
Ac: 0.0000 0.0000 0.1713  12 Sn 3.43-3.52
Ac: 0.0000 0.0000 0.8287  12 Sn 3.43-3.52
Mg: 0.0000 0.0000 0.5000  12 Sn 3.21-3.52
Sn: 0.0000 0.5000 0.0000  4 Ac 3.43, 8 Sn 3.45-3.52
Sn: 0.0000 0.5000 0.3524  8 Sn 3.21-3.52, 2 Mg 3.21, 2 Ac 3.52
Sn: 0.0000 0.5000 0.6476  8 Sn 3.21-3.52, 2 Mg 3.21, 2 Ac 3.52
Sn: 0.5000 0.0000 0.0000  4 Ac 3.43, 8 Sn 3.45-3.52
Sn: 0.5000 0.0000 0.3524  8 Sn 3.21-3.52, 2 Mg 3.21, 2 Ac 3.52
Sn: 0.5000 0.0000 0.6476  8 Sn 3.21-3.52, 2 Mg 3.21, 2 Ac 3.52
Sn: 0.5000 0.5000 0.1737  8 Sn 3.45-3.50, 4 Ac 3.52
Sn: 0.5000 0.5000 0.5000  8 Sn 3.21, 4 Mg 3.52
Sn: 0.5000 0.5000 0.8263  8 Sn 3.45-3.50, 4 Ac 3.52

Here is a relaxed structure of Ac3Mg6Sn5 from the Alexandria database. Energies are from PBE.

Unit cell a=4.7248 b=14.3821 c=11.5761 alpha=90.00 beta=90.00 gamma=90.00
Last column: nearest neighbours and their distance in Å.
Sites, in units of the cell vectors:
Ac: 0.2500 0.0806 0.2490  6 Sn 3.52-3.55, 7 Mg 3.58-3.81
Ac: 0.2500 0.4194 0.2490  6 Sn 3.52-3.55, 7 Mg 3.58-3.81
Ac: 0.2500 0.7500 0.2395  6 Sn 3.59-3.60, 10 Mg 3.82-3.87
Ac: 0.7500 0.2500 0.7605  6 Sn 3.59-3.60, 10 Mg 3.82-3.87
Ac: 0.7500 0.5806 0.7510  6 Sn 3.52-3.55, 7 Mg 3.58-3.81
Ac: 0.7500 0.9194 0.7510  6 Sn 3.52-3.55, 7 Mg 3.58-3.81
Mg: 0.2500 0.0727 0.8968  4 Sn 2.88-2.93, 1 Mg 2.93
Mg: 0.2500 0.2500 0.0223  2 Mg 2.93, 4 Sn 3.00
Mg: 0.2500 0.2500 0.4958  4 Sn 2.96-3.04, 4 Mg 3.32
Mg: 0.2500 0.4273 0.8968  4 Sn 2.88-2.93, 1 Mg 2.93
Mg: 0.2500 0.5882 0.5030  4 Sn 2.94-3.02
Mg: 0.2500 0.9118 0.5030  4 Sn 2.94-3.02
Mg: 0.7500 0.0882 0.4970  4 Sn 2.94-3.02
Mg: 0.7500 0.4118 0.4970  4 Sn 2.94-3.02
Mg: 0.7500 0.5727 0.1032  4 Sn 2.88-2.93, 1 Mg 2.93
Mg: 0.7500 0.7500 0.5042  4 Sn 2.96-3.04, 4 Mg 3.32
Mg: 0.7500 0.7500 0.9777  2 Mg 2.93, 4 Sn 3.00
Mg: 0.7500 0.9273 0.1032  4 Sn 2.88-2.93, 1 Mg 2.93
Sn: 0.2500 0.0846 0.6485  5 Mg 2.88-3.00
Sn: 0.2500 0.4154 0.6485  5 Mg 2.88-3.00
Sn: 0.2500 0.6216 0.9722  5 Mg 2.89-3.00
Sn: 0.2500 0.7500 0.6693  4 Mg 3.02-3.04
Sn: 0.2500 0.8784 0.9722  5 Mg 2.89-3.00
Sn: 0.7500 0.1216 0.0278  5 Mg 2.89-3.00
Sn: 0.7500 0.2500 0.3307  4 Mg 3.02-3.04
Sn: 0.7500 0.3784 0.0278  5 Mg 2.89-3.00
Sn: 0.7500 0.5846 0.3515  5 Mg 2.88-3.00
Sn: 0.7500 0.9154 0.3515  5 Mg 2.88-3.00

Here is a relaxed structure of Ac4MgSn15 from the Alexandria database. Energies are from PBE.

Unit cell a=4.9120 b=4.9120 c=24.0327 alpha=90.00 beta=90.00 gamma=90.00
Last column: nearest neighbours and their distance in Å.
Sites, in units of the cell vectors:
Ac: 0.0000 0.0000 0.1030  12 Sn 3.47-3.49
Ac: 0.0000 0.0000 0.3056  12 Sn 3.45-3.55
Ac: 0.0000 0.0000 0.6944  12 Sn 3.45-3.55
Ac: 0.0000 0.0000 0.8970  12 Sn 3.47-3.49
Mg: 0.0000 0.0000 0.5000  12 Sn 3.24-3.47
Sn: 0.0000 0.5000 0.0000  8 Sn 3.46-3.47, 4 Ac 3.49
Sn: 0.0000 0.5000 0.2048  4 Ac 3.45-3.47, 8 Sn 3.47-3.50
Sn: 0.0000 0.5000 0.4122  8 Sn 3.24-3.51, 2 Mg 3.24, 2 Ac 3.55
Sn: 0.0000 0.5000 0.5878  8 Sn 3.24-3.51, 2 Mg 3.24, 2 Ac 3.55
Sn: 0.0000 0.5000 0.7952  4 Ac 3.45-3.47, 8 Sn 3.47-3.50
Sn: 0.5000 0.0000 0.0000  8 Sn 3.46-3.47, 4 Ac 3.49
Sn: 0.5000 0.0000 0.2048  4 Ac 3.45-3.47, 8 Sn 3.47-3.50
Sn: 0.5000 0.0000 0.4122  8 Sn 3.24-3.51, 2 Mg 3.24, 2 Ac 3.55
Sn: 0.5000 0.0000 0.5878  8 Sn 3.24-3.51, 2 Mg 3.24, 2 Ac 3.55
Sn: 0.5000 0.0000 0.7952  4 Ac 3.45-3.47, 8 Sn 3.47-3.50
Sn: 0.5000 0.5000 0.1013  8 Sn 3.46-3.50, 4 Ac 3.47
Sn: 0.5000 0.5000 0.3080  4 Ac 3.47, 8 Sn 3.49-3.51
Sn: 0.5000 0.5000 0.5000  8 Sn 3.24, 4 Mg 3.47
Sn: 0.5000 0.5000 0.6920  4 Ac 3.47, 8 Sn 3.49-3.51
Sn: 0.5000 0.5000 0.8987  8 Sn 3.46-3.50, 4 Ac 3.47

Quick rundown of ΔE_f, same order as above: -1.51; -4.55; -2.81; -4.06; -6.49; -7.96 eV/f.u.